Crystalline CoAg3O at its relaxed geometry. Source: the Alexandria database, functional GGA+U.

Unit cell a=4.444 b=4.444 c=4.444 alpha=90.00 beta=90.00 gamma=90.00
Sites, in units of the cell vectors:
Co: 0.500 0.500 0.500
Ag: 0.000 0.000 0.500
O: 0.000 0.000 0.000
Ag: 0.500 0.000 0.000
Ag: 0.000 0.500 0.000

Output
The space-group type is Pm-3m (221). The polymorph energy (0 for the lowest one) comes out at 0 meV/atom. Its volume is 87.8 Å³ per cell.